Here is a relaxed structure of LiLa2Sn3Au4 from Alexandria. Energies are from GGA-PBE.

a = 4.654 Å, b = 4.654 Å, c = 11.120 Å
α = 90.00°, β = 90.00°, γ = 90.00°
Fractional coordinates of all 10 atoms:
Li (0.000, 0.000, 0.000)
La (0.000, 0.500, 0.737)
La (0.500, 0.000, 0.263)
Sn (0.000, 0.500, 0.362)
Sn (0.500, 0.000, 0.638)
Sn (0.500, 0.500, 0.000)
Au (0.000, 0.000, 0.500)
Au (0.000, 0.500, 0.123)
Au (0.500, 0.000, 0.877)
Au (0.500, 0.500, 0.500)

For the final energy, the calculation gives -43.40 eV/cell.

***

Here is a relaxed structure of TmZnRu from Alexandria. Energies are from GGA-PBE.

a = 4.351 Å, b = 4.351 Å, c = 3.434 Å
α = 90.00°, β = 90.00°, γ = 120.00°
Fractional coordinates of all 3 atoms:
Tm (0.000, 0.000, 0.000)
Zn (0.333, 0.667, 0.500)
Ru (0.667, 0.333, 0.500)

For the final energy, the calculation gives -15.92 eV/cell.

***

Here is a relaxed structure of MgTc2F from Alexandria. Energies are from GGA-PBE.

a = 11.797 Å, b = 11.797 Å, c = 11.797 Å
α = 163.49°, β = 163.49°, γ = 23.43°
Fractional coordinates of all 8 atoms:
Mg (0.000, 0.000, 0.000)
Mg (0.750, 0.250, 0.500)
Tc (0.123, 0.125, 0.498)
Tc (0.375, 0.877, 0.002)
Tc (0.627, 0.625, 0.502)
Tc (0.875, 0.373, 0.998)
F (0.250, 0.750, 0.500)
F (0.500, 0.500, 0.000)

The value obtained for the energy above the most stable polymorph in this dataset is 0.0000 eV/atom. The calculation puts the formation energy (no corrections) at -1.03 eV per formula unit.